{
  "formula": "Ba2MgGaHg6",
  "functional": "PBE",
  "state": "optimized geometry",
  "formation_enthalpy_0k_ev_per_atom": -0.30,
  "e_tot_ev_per_atom": -1.327,
  "sg": "P-1, No. 2",
  "crystal_system": "triclinic",
  "lattice_angstrom": [[6.7062, 0.0000, 0.0000], [2.7436, 6.6672, 0.0000], [2.5982, 1.1872, 6.9517]],
  "species": ["Ba", "Ba", "Mg", "Ga", "Hg", "Hg", "Hg", "Hg", "Hg", "Hg"],
  "fractional_positions": [[0.2135, 0.2232, 0.2886], [0.7865, 0.7768, 0.7114], [0.5000, 0.5000, 0.5000], [0.0000, 0.0000, 0.0000], [0.2092, 0.7351, 0.2754], [0.2875, 0.6253, 0.8722], [0.2952, 0.2084, 0.7630], [0.7048, 0.7916, 0.2370], [0.7125, 0.3747, 0.1278], [0.7908, 0.2649, 0.7246]]
}

***

{
  "formula": "InS2F2",
  "functional": "PBE",
  "state": "optimized geometry",
  "polymorph_energy_ev_per_atom": 0.120,
  "raw_formation_energy_ev_per_atom": -0.57,
  "e_tot_ev_per_atom": -3.516,
  "sg": "I4/mmm, No. 139",
  "crystal_system": "tetragonal",
  "lattice_angstrom": [[-2.4176, 2.4176, 4.0900], [2.4176, -2.4176, 4.0900], [2.4176, 2.4176, -4.0900]],
  "species": ["In", "S", "S", "F", "F"],
  "fractional_positions": [[0.0000, 0.0000, 0.0000], [0.3861, 0.3861, 0.0000], [0.6139, 0.6139, 0.0000], [0.2500, 0.7500, 0.5000], [0.7500, 0.2500, 0.5000]]
}

***

How do the records compare in total magnetic moment? In the order shown, they have 0.000, 0.000 μB per cell.